1.
## ScHg3 (PBE)

Data for ScHg3 after structural relaxation. Values from VASP.

Total energy in eV per atom: -2.003
Crystal system: tetragonal

Quantum ESPRESSO input file:
```
&SYSTEM
  ibrav = 0, nat = 8, ntyp = 2
/
ATOMIC_SPECIES
Hg 200.59 Hg.upf
Sc 44.96 Sc.upf
ATOMIC_POSITIONS crystal
Hg 0.500 0.000 0.000
Hg 0.870 0.870 0.261
Sc 0.626 0.626 0.749
Hg 0.130 0.130 0.739
Hg 0.750 0.250 0.500
Hg 0.000 0.500 0.000
Sc 0.374 0.374 0.251
Hg 0.250 0.750 0.500
CELL_PARAMETERS angstrom
4.495 0.000 0.000
0.000 4.495 0.000
2.248 2.248 8.848
```

2.
## ScHg3 (PBE)

Data for ScHg3 after structural relaxation. Values from VASP.

Total energy in eV per atom: -1.884
Crystal system: trigonal

Quantum ESPRESSO input file:
```
&SYSTEM
  ibrav = 0, nat = 4, ntyp = 2
/
ATOMIC_SPECIES
Hg 200.59 Hg.upf
Sc 44.96 Sc.upf
ATOMIC_POSITIONS crystal
Hg 0.500 0.500 0.000
Hg 0.000 0.500 0.500
Hg 0.000 0.000 0.000
Sc 0.500 0.000 0.500
CELL_PARAMETERS angstrom
-0.527 1.324 2.861
-4.399 -3.402 1.954
1.402 -5.494 1.610
```

3.
## Sc3Hg (PBE)

Data for Sc3Hg after structural relaxation. Values from VASP.

Total energy in eV per atom: -4.992
Crystal system: orthorhombic

Quantum ESPRESSO input file:
```
&SYSTEM
  ibrav = 0, nat = 4, ntyp = 2
/
ATOMIC_SPECIES
Sc 44.96 Sc.upf
Hg 200.59 Hg.upf
ATOMIC_POSITIONS crystal
Sc 0.500 0.500 0.248
Hg 0.000 0.000 0.000
Sc 0.000 0.000 0.500
Sc 0.500 0.500 0.752
CELL_PARAMETERS angstrom
-0.921 2.726 -1.723
-3.519 -2.110 -1.458
-3.272 2.030 4.960
```

4.
## ScHg4 (PBE)

Data for ScHg4 after structural relaxation. Values from VASP.

Distance to the lowest polymorph of the same formula in kJ/mol of formula units: 182
Total energy in eV per atom: -1.231
Crystal system: cubic

Quantum ESPRESSO input file:
```
&SYSTEM
  ibrav = 0, nat = 5, ntyp = 2
/
ATOMIC_SPECIES
Hg 200.59 Hg.upf
Sc 44.96 Sc.upf
ATOMIC_POSITIONS crystal
Hg 0.500 0.000 0.500
Hg 0.000 0.000 0.000
Hg 0.500 0.500 0.000
Hg 0.000 0.500 0.500
Sc 0.500 0.500 0.500
CELL_PARAMETERS angstrom
-1.450 5.489 -0.758
-0.717 -0.963 -5.600
-5.495 -1.323 0.931
```

5.
## Sc5Hg4 (PBE)

Data for Sc5Hg4 after structural relaxation. Values from VASP.

Distance to the lowest polymorph of the same formula in kJ/mol of formula units: 117
Total energy in eV per atom: -3.883
Crystal system: tetragonal

Quantum ESPRESSO input file:
```
&SYSTEM
  ibrav = 0, nat = 9, ntyp = 2
/
ATOMIC_SPECIES
Sc 44.96 Sc.upf
Hg 200.59 Hg.upf
ATOMIC_POSITIONS crystal
Sc 0.670 0.330 0.000
Hg 0.000 0.677 0.677
Sc 0.670 0.670 0.339
Sc 0.330 0.330 0.661
Sc 0.330 0.670 0.000
Hg 0.000 0.323 0.323
Hg 0.677 0.000 0.677
Sc 0.000 0.000 0.000
Hg 0.323 0.000 0.323
CELL_PARAMETERS angstrom
-4.716 4.716 2.240
4.716 -4.716 2.240
4.716 4.716 -2.240
```

6.
## ScHg3 (PBE)

Data for ScHg3 after structural relaxation. Values from VASP.

Total energy in eV per atom: -1.898
Crystal system: cubic

Quantum ESPRESSO input file:
```
&SYSTEM
  ibrav = 0, nat = 8, ntyp = 2
/
ATOMIC_SPECIES
Hg 200.59 Hg.upf
Sc 44.96 Sc.upf
ATOMIC_POSITIONS crystal
Hg 0.750 0.500 0.000
Sc 0.500 0.500 0.500
Hg 0.500 0.000 0.750
Sc 0.000 0.000 0.000
Hg 0.000 0.250 0.500
Hg 0.500 0.000 0.250
Hg 0.000 0.750 0.500
Hg 0.250 0.500 0.000
CELL_PARAMETERS angstrom
5.732 0.000 0.000
0.000 5.732 0.000
0.000 0.000 5.732
```